# 1
Below is an optimized crystal structure of GaMoAs2Br, with properties calculated at the GGA-PBE level.

Lattice parameters (Å, degrees): 4.837 4.837 5.608 90.00 90.00 90.00
Positions (direct):
Mo: 0.000 0.000 0.000
Ga: 0.500 0.500 0.500
As: 0.000 0.500 0.000
As: 0.500 0.000 0.000
Br: 0.000 0.000 0.500

Excess energy over the best structure of this formula in the dataset: 0.0 meV/atom
SG: P4/mmm, No. 123
Formation energy from raw total energies: 23.5 kJ/mol of atoms

---

# 2
Below is an optimized crystal structure of GaMoAsBr2, with properties calculated at the GGA-PBE level.

Lattice parameters (Å, degrees): 5.131 5.131 5.103 90.00 90.00 90.00
Positions (direct):
Mo: 0.500 0.500 0.500
Ga: 0.000 0.000 0.000
As: 0.000 0.000 0.500
Br: 0.000 0.500 0.000
Br: 0.500 0.000 0.000

Excess energy over the best structure of this formula in the dataset: 654.6 meV/atom
SG: P4/mmm, No. 123
Formation energy from raw total energies: 76.8 kJ/mol of atoms

---

Number 1: theoretical density 5.0 g/cm³. Number 2: theoretical density 4.9 g/cm³.